Na2HfNiO4 after structural relaxation. Source: Alexandria via LeMat-Bulk, functional GGA+U.

Geometry as POSCAR:
```
Na2HfNiO4
1.0
3.170 0.000 0.000
0.000 5.378 0.074
0.000 -1.916 5.450
O Hf Na Ni
4 1 2 1
Cartesian
1.585 0.913 1.122
1.585 2.550 4.402
0.000 3.490 1.194
0.000 -0.028 4.330
1.585 2.689 0.037
0.000 1.731 2.762
1.585 -0.958 2.725
0.000 0.000 0.000
```

SG: P2/m
Calculated density in g/cm³: 6.18
VASP energy in eV/atom: -6.5906